Computed, not measured: an optimized crystal structure of DyPd3Au6 at the PBE level of DFT.

Polymorph energy (0 for the lowest one)   64 meV/atom
SG   Cmc2_1, No. 36
Size of the total moment   0.0 Bohr magnetons per cell
ρ   14.89 g/cm3
Calculated formation energy   -0.282 eV/atom

Cell and atoms, written as CIF:
```
data_DyPd3Au6
_chemical_formula_sum 'Dy2 Pd6 Au12'
_cell_length_a 5.353
_cell_length_b 9.650
_cell_length_c 9.650
_cell_angle_alpha 131.91
_cell_angle_beta 90.00
_cell_angle_gamma 90.00
_space_group_name_H-M_alt 'P 1'
_space_group_IT_number 1
loop_
_space_group_symop_operation_xyz
'x,y,z'
loop_
_atom_site_label
_atom_site_type_symbol
_atom_site_fract_x
_atom_site_fract_y
_atom_site_fract_z
Au1 Au 0.240 0.673 0.327
Au2 Au 0.075 0.353 0.284
Au3 Au 0.740 0.327 0.673
Au4 Au 0.320 0.456 0.922
Au5 Au 0.075 0.716 0.647
Au6 Au 0.320 0.078 0.544
Au7 Au 0.269 0.997 0.003
Au8 Au 0.820 0.544 0.078
Au9 Au 0.820 0.922 0.456
Au10 Au 0.575 0.284 0.353
Au11 Au 0.769 0.003 0.997
Au12 Au 0.575 0.647 0.716
Pd1 Pd 0.704 0.604 0.396
Pd2 Pd 0.204 0.396 0.604
Pd3 Pd 0.996 0.060 0.299
Pd4 Pd 0.996 0.701 0.940
Pd5 Pd 0.496 0.299 0.060
Pd6 Pd 0.496 0.940 0.701
Dy1 Dy 0.492 0.846 0.154
Dy2 Dy 0.992 0.154 0.846
```